Entry 1:
A plane-wave DFT calculation with PBE was carried out for crystalline NpSi2Pt2 at its relaxed geometry.

```
NpSi2Pt2
1.0
4.2102 0.0000 0.0000
0.0000 4.2102 0.0000
0.0000 0.0000 9.8826
Np Si Pt
2 4 4
Cartesian
1.0525 1.0525 2.4342 Np
3.1576 3.1576 7.4483 Np
1.0525 1.0525 6.2771 Si
1.0525 3.1576 0.0000 Si
3.1576 1.0525 0.0000 Si
3.1576 3.1576 3.6055 Si
1.0525 1.0525 8.6737 Pt
1.0525 3.1576 4.9413 Pt
3.1576 1.0525 4.9413 Pt
3.1576 3.1576 1.2089 Pt
```

Values from the calculation:
Raw formation energy ... -363.5 kJ/mol of formula units
Magnetization ... 7.738 μB per cell
SG ... No. 129
ρ ... 12.96 g cm⁻³

***

Entry 2:
A plane-wave DFT calculation with PBE was carried out for crystalline Np2Si4Pt3 at its relaxed geometry.

```
Np2Si4Pt3
1.0
2.7877 -7.3636 0.0000
2.7877 7.3636 0.0000
0.0000 0.0000 7.4256
Np Si Pt
4 8 6
Cartesian
2.7877 5.8826 6.7480 Np
2.7877 1.4810 3.0352 Np
2.7877 -1.4810 4.3904 Np
2.7877 -5.8826 0.6776 Np
2.7877 4.7366 3.9003 Si
1.3938 0.8877 5.5692 Si
1.3938 -0.8877 1.8564 Si
2.7877 2.6270 0.1875 Si
2.7877 -2.6270 7.2381 Si
4.1815 0.8877 5.5692 Si
4.1815 -0.8877 1.8564 Si
2.7877 -4.7366 3.5253 Si
0.0000 0.0000 3.7128 Pt
1.3938 3.3438 5.5692 Pt
1.3938 -3.3438 1.8564 Pt
2.7877 0.0000 0.0000 Pt
4.1815 3.3438 5.5692 Pt
4.1815 -3.3438 1.8564 Pt
```

Values from the calculation:
Raw formation energy ... -550.7 kJ/mol of formula units
Magnetization ... 15.584 μB per cell
SG ... No. 64
ρ ... 12.76 g cm⁻³

***

Entry 3:
A plane-wave DFT calculation with PBE was carried out for crystalline Np2Si12Pt7 at its relaxed geometry.

```
Np2Si12Pt7
1.0
9.9459 0.0000 0.0000
-4.9730 8.6134 0.0000
0.0000 0.0000 4.0538
Np Si Pt
2 12 7
Cartesian
0.0000 5.7423 0.9267 Np
4.9730 2.8711 3.1270 Np
-1.3902 3.8133 3.1543 Si
-0.0173 2.2948 0.8983 Si
-2.9770 7.4810 0.8983 Si
1.9787 1.1624 3.1555 Si
-0.9755 7.9107 3.1543 Si
2.6073 3.1106 0.8995 Si
2.3656 5.5028 3.1543 Si
5.9484 0.7027 0.8995 Si
2.9943 7.4510 0.8983 Si
7.9499 1.1324 3.1555 Si
4.9903 6.3186 3.1555 Si
6.3631 4.8001 0.8995 Si
0.0000 0.0000 0.0000 Pt
-2.5508 5.9605 2.8393 Pt
1.0865 3.4241 2.8393 Pt
3.5086 0.7712 1.2144 Pt
1.4644 7.8423 2.8393 Pt
3.8865 5.1893 1.2144 Pt
7.5238 2.6530 1.2144 Pt
```

Values from the calculation:
Raw formation energy ... -890.7 kJ/mol of formula units
Magnetization ... 8.141 μB per cell
SG ... No. 147
ρ ... 10.41 g cm⁻³

***

| no. | D(E_F) (states/eV per cell) |
| --- | --- |
| 1 | 22.15 |
| 2 | 31.82 |
| 3 | 24.35 |